This record from Alexandria describes crystalline VF3 at its relaxed geometry. The functional is PBE with a Hubbard U.

## Properties
calculated density: 3.41 Mg/m³
crystal system: tetragonal
DFT total energy: -5.193 eV per atom

abc: 6.9101 6.9101 6.9101
angles: 145.53 145.53 49.54
Element x y z (fractional)
V  0.0000  0.0000  0.0000
V  0.7500  0.2500  0.5000
F  0.0074  0.6250  0.8824
F  0.2500  0.7500  0.5000
F  0.3750  0.2574  0.3824
F  0.5000  0.5000  0.0000
F  0.7426  0.1250  0.1176
F  0.8750  0.9926  0.6176